# PBE-GGA TiNb2W5, relaxed
# SG: I4/mmm (139)
# DFT formation energy in kJ/mol of formula units: -32
# DFT total energy in eV/atom: -11.6413
# Calculated volume in Å³/atom: 16.5
data_TiNb2W5
_symmetry_space_group_name_H-M 'P 1'
_symmetry_Int_Tables_number 1
_symmetry_space_group_name_Hall 'P 1'
_cell_length_a 5.559
_cell_length_b 5.559
_cell_length_c 5.559
_cell_angle_alpha 109.55
_cell_angle_beta 109.55
_cell_angle_gamma 109.32
loop_
_atom_site_label
_atom_site_fract_x
_atom_site_fract_y
_atom_site_fract_z
Ti1 0.778 0.778 0.000
Nb1 0.278 0.778 0.500
Nb2 0.778 0.278 0.500
W1 0.278 0.278 0.500
W2 0.278 0.778 0.000
W3 0.778 0.278 0.000
W4 0.778 0.778 0.500
W5 0.278 0.278 0.000

# PBE-GGA KClF3, relaxed
# SG: Pm-3m (221)
# Energy above the most stable polymorph in this dataset in eV/atom: 0.6311
# DFT total energy in eV/atom: -2.2938
# Calculated volume in Å³/atom: 25.4
data_KClF3
_symmetry_space_group_name_H-M 'P 1'
_symmetry_Int_Tables_number 1
_symmetry_space_group_name_Hall 'P 1'
_cell_length_a 5.024
_cell_length_b 5.024
_cell_length_c 5.024
_cell_angle_alpha 90.00
_cell_angle_beta 90.00
_cell_angle_gamma 90.00
loop_
_atom_site_label
_atom_site_fract_x
_atom_site_fract_y
_atom_site_fract_z
K1 0.000 0.000 0.000
F1 0.000 0.500 0.000
F2 0.000 0.000 0.500
F3 0.500 0.000 0.000
Cl1 0.500 0.500 0.500

# PBE-GGA Na2PuSiO6, relaxed
# SG: P4mm (99)
# DFT total energy in eV/atom: -7.4553
# Calculated volume in Å³/atom: 12.3
data_Na2PuSiO6
_symmetry_space_group_name_H-M 'P 1'
_symmetry_Int_Tables_number 1
_symmetry_space_group_name_Hall 'P 1'
_cell_length_a 4.305
_cell_length_b 5.340
_cell_length_c 5.340
_cell_angle_alpha 90.00
_cell_angle_beta 90.00
_cell_angle_gamma 90.00
loop_
_atom_site_label
_atom_site_fract_x
_atom_site_fract_y
_atom_site_fract_z
Na1 0.109 0.500 0.000
Na2 0.109 0.000 0.500
Pu1 0.651 0.500 0.500
Si1 0.573 0.000 0.000
O1 0.664 0.230 0.230
O2 0.664 0.230 0.770
O3 0.155 0.500 0.500
O4 0.195 0.000 0.000
O5 0.664 0.770 0.770
O6 0.664 0.770 0.230